# Tb4Te3P | the Open Quantum Materials Database | PBE | optimized geometry
data_Tb4Te3P
_cell_length_a 7.493
_cell_length_b 7.493
_cell_length_c 4.224
_cell_angle_alpha 90.00
_cell_angle_beta 90.00
_cell_angle_gamma 108.72
_symmetry_space_group_name_H-M 'P 1'
_symmetry_Int_Tables_number 1
loop_
_symmetry_equiv_pos_as_xyz
'x,y,z'
loop_
_atom_site_label
_atom_site_fract_x
_atom_site_fract_y
_atom_site_fract_z
P1 0.000 0.000 0.000
Tb1 0.773 0.227 0.000
Tb2 0.227 0.773 0.000
Tb3 0.215 0.215 0.500
Tb4 0.785 0.785 0.500
Te1 0.500 0.500 0.000
Te2 0.500 0.000 0.500
Te3 0.000 0.500 0.500
# Space-group type: No. 65



# PmAgTeO | the Open Quantum Materials Database | PBE | optimized geometry
data_PmAgTeO
_cell_length_a 5.853
_cell_length_b 5.853
_cell_length_c 9.920
_cell_angle_alpha 90.00
_cell_angle_beta 90.00
_cell_angle_gamma 90.00
_symmetry_space_group_name_H-M 'P 1'
_symmetry_Int_Tables_number 1
loop_
_symmetry_equiv_pos_as_xyz
'x,y,z'
loop_
_atom_site_label
_atom_site_fract_x
_atom_site_fract_y
_atom_site_fract_z
Ag1 0.756 0.245 0.500
Ag2 0.256 0.255 0.500
Ag3 0.744 0.745 0.500
Ag4 0.244 0.755 0.500
O1 0.751 0.250 0.000
O2 0.251 0.250 0.000
O3 0.749 0.750 0.000
O4 0.249 0.750 0.000
Pm1 0.000 0.000 0.113
Pm2 0.500 0.500 0.113
Pm3 0.500 0.000 0.887
Pm4 0.000 0.500 0.887
Te1 0.500 0.000 0.294
Te2 0.000 0.500 0.294
Te3 0.000 0.000 0.706
Te4 0.500 0.500 0.706
# Space-group type: No. 32



| no. | DFT total energy (eV per atom) |
| --- | --- |
| 1 | -5.62 |
| 2 | -5.75 |